## PRhBr2 (PBE)

Data for an optimized crystal structure of PRhBr2.

Structure (POSCAR):
```
PRhBr2
1.0
-3.2891 -0.4935 0.6653
2.4253 -2.2554 0.7318
1.0421 3.6772 7.8791
Br P Rh
2 1 1
Cartesian
1.0118 3.5706 7.6507
0.5512 1.9452 4.1680
-0.1714 -0.4552 2.6684
0.3496 1.3834 6.6079
```

Energy, eV per atom: -3.356
Total moment, μB per formula unit: 0.00
SG: Cmmm, No. 65
Formation energy (no corrections), meV per atom: 670.7